! Y2Os | OQMD via LeMat-Bulk | GGA-PBE | relaxed; values from VASP
! Formation energy from the elements ... 1.853 eV per atom
! Raw total energy ... -6.20 eV per atom
&SYSTEM
  ibrav = 0, nat = 6, ntyp = 2
/
ATOMIC_SPECIES
Y 88.91 Y.upf
Os 190.23 Os.upf
CELL_PARAMETERS angstrom
0.000 5.897 5.897
5.897 0.000 5.897
5.897 5.897 0.000
ATOMIC_POSITIONS angstrom
Y 0.000 0.000 0.000
Y 2.949 2.949 0.000
Y 2.949 0.000 2.949
Y 0.000 2.949 2.949
Os 1.474 1.474 1.474
Os 10.320 10.320 10.320